Here is crystalline Y5Ho4Al at its relaxed geometry from Alexandria. Energies are from PBE-GGA.

Cell: 3.539 3.539 24.089 Å, 90.00 90.00 90.00°
Positions (direct):
Y1 0.000 0.000 0.000
Y2 0.000 0.000 0.210
Y3 0.000 0.000 0.421
Y4 0.000 0.000 0.579
Y5 0.000 0.000 0.790
Ho1 0.500 0.500 0.105
Ho2 0.500 0.500 0.314
Ho3 0.500 0.500 0.686
Ho4 0.500 0.500 0.895
Al1 0.500 0.500 0.500

Values from the calculation:
**Energy of formation**: -0.062 eV/atom